Entry 1:
DFT (GGA-PBEsol) results for a relaxed Ge5Ir4 crystal.

CIF file:
```
data_Ge5Ir4
_space_group_name_H-M_alt 'P -4 c 2'
_space_group_IT_number 116
_cell_length_a 5.614
_cell_length_b 5.614
_cell_length_c 18.372
_cell_angle_alpha 90.00
_cell_angle_beta 90.00
_cell_angle_gamma 90.00
loop_
_space_group_symop_operation_xyz
'x,y,z'
'y,-x,-z'
'-x,-y,z'
'-y,x,-z'
'-x,y,z+1/2'
'-y,-x,-z+1/2'
'x,-y,z+1/2'
'y,x,-z+1/2'
loop_
_atom_site_label
_atom_site_type_symbol
_atom_site_fract_x
_atom_site_fract_y
_atom_site_fract_z
_atom_site_occupancy
Ge1 Ge 0.144 0.225 0.145 1
Ge2 Ge 0.197 0.343 0.945 1
Ge3 Ge 0.323 0.323 0.750 1
Ir1 Ir 0.000 0.000 0.000 1
Ir2 Ir 0.000 0.000 0.250 1
Ir3 Ir 0.000 0.500 0.056 1
Ir4 Ir 0.000 0.500 0.323 1
Ir5 Ir 0.500 0.500 0.136 1
```

***

Entry 2:
# KGe2Ir2 GGA-PBEsol relaxed
# excess energy over the best structure of this formula in the dataset	0.00	eV per formula unit
data_KGe2Ir2
_space_group_name_H-M_alt 'I 4/m m m'
_space_group_IT_number 139
_space_group_name_Hall '-I 4 2'
_cell_length_a 4.154
_cell_length_b 4.154
_cell_length_c 11.053
_cell_angle_alpha 90.00
_cell_angle_beta 90.00
_cell_angle_gamma 90.00
loop_
_atom_site_label
_atom_site_type_symbol
_atom_site_fract_x
_atom_site_fract_y
_atom_site_fract_z
_atom_site_occupancy
K1 K 0.000 0.000 0.000 1
Ge1 Ge 0.000 0.000 0.367 1
Ir1 Ir 0.000 0.500 0.250 1

***

Entry 3:
DFT (GGA-PBEsol) results for a relaxed K3GeIr crystal.

CIF file:
```
data_K3GeIr
_space_group_name_H-M_alt 'P m -3 m'
_space_group_IT_number 221
_space_group_name_Hall '-P 4 2 3'
_cell_length_a 6.223
_cell_length_b 6.223
_cell_length_c 6.223
_cell_angle_alpha 90.00
_cell_angle_beta 90.00
_cell_angle_gamma 90.00
loop_
_atom_site_label
_atom_site_type_symbol
_atom_site_fract_x
_atom_site_fract_y
_atom_site_fract_z
_atom_site_occupancy
K1 K 0.000 0.000 0.500 1
Ge1 Ge 0.000 0.000 0.000 1
Ir1 Ir 0.500 0.500 0.500 1
```

***

Entry 4:
DFT (GGA-PBEsol) results for a relaxed KTi2GeIr crystal.

CIF file:
```
data_KTi2GeIr
_space_group_name_H-M_alt 'P 4/m m m'
_space_group_IT_number 123
_space_group_name_Hall '-P 4 2'
_cell_length_a 4.855
_cell_length_b 4.855
_cell_length_c 4.628
_cell_angle_alpha 90.00
_cell_angle_beta 90.00
_cell_angle_gamma 90.00
loop_
_atom_site_label
_atom_site_type_symbol
_atom_site_fract_x
_atom_site_fract_y
_atom_site_fract_z
_atom_site_occupancy
K1 K 0.000 0.000 0.000 1
Ti1 Ti 0.000 0.500 0.500 1
Ge1 Ge 0.500 0.500 0.500 1
Ir1 Ir 0.500 0.500 0.000 1
```

***

| no. | energy (eV per cell) |
| --- | --- |
| 1 | -269.1 |
| 2 | -64.1 |
| 3 | -11.5 |
| 4 | -28.8 |